Entry a
ErWBrO4: optimized geometry, PBE with a Hubbard U.

Structure (CIF):
```
data_ErWBrO4
_cell_length_a 6.410
_cell_length_b 6.410
_cell_length_c 6.976
_cell_angle_alpha 104.53
_cell_angle_beta 104.53
_cell_angle_gamma 69.00
_space_group_name_H-M_alt 'P 1'
_space_group_IT_number 1
loop_
_space_group_symop_operation_xyz
'x,y,z'
loop_
_atom_site_label
_atom_site_type_symbol
_atom_site_fract_x
_atom_site_fract_y
_atom_site_fract_z
_atom_site_occupancy
Er1 Er 0.230 0.230 0.122 1
Er2 Er 0.770 0.770 0.878 1
W1 W 0.366 0.366 0.736 1
W2 W 0.634 0.634 0.264 1
Br1 Br 0.011 0.011 0.757 1
Br2 Br 0.989 0.989 0.243 1
O1 O 0.106 0.494 0.845 1
O2 O 0.302 0.302 0.466 1
O3 O 0.455 0.455 0.189 1
O4 O 0.494 0.106 0.845 1
O5 O 0.506 0.894 0.155 1
O6 O 0.545 0.545 0.811 1
O7 O 0.698 0.698 0.534 1
O8 O 0.894 0.506 0.155 1
```

Entry b
ErWBrO4: optimized geometry, PBE with a Hubbard U.

Structure (CIF):
```
data_ErWBrO4
_cell_length_a 7.008
_cell_length_b 7.306
_cell_length_c 10.943
_cell_angle_alpha 74.73
_cell_angle_beta 72.12
_cell_angle_gamma 84.76
_space_group_name_H-M_alt 'P 1'
_space_group_IT_number 1
loop_
_space_group_symop_operation_xyz
'x,y,z'
loop_
_atom_site_label
_atom_site_type_symbol
_atom_site_fract_x
_atom_site_fract_y
_atom_site_fract_z
_atom_site_occupancy
Er1 Er 0.061 0.094 0.270 1
Er2 Er 0.393 0.668 0.235 1
Er3 Er 0.607 0.332 0.765 1
Er4 Er 0.939 0.906 0.730 1
W1 W 0.132 0.419 0.623 1
W2 W 0.412 0.815 0.867 1
W3 W 0.588 0.185 0.133 1
W4 W 0.868 0.581 0.377 1
Br1 Br 0.209 0.269 0.989 1
Br2 Br 0.249 0.038 0.484 1
Br3 Br 0.751 0.962 0.516 1
Br4 Br 0.791 0.731 0.011 1
O1 O 0.032 0.615 0.696 1
O2 O 0.053 0.779 0.289 1
O3 O 0.206 0.510 0.442 1
O4 O 0.206 0.890 0.799 1
O5 O 0.312 0.741 0.045 1
O6 O 0.361 0.352 0.667 1
O7 O 0.402 0.990 0.196 1
O8 O 0.461 0.381 0.198 1
O9 O 0.539 0.619 0.802 1
O10 O 0.598 0.010 0.804 1
O11 O 0.639 0.648 0.333 1
O12 O 0.688 0.259 0.955 1
O13 O 0.794 0.110 0.201 1
O14 O 0.794 0.490 0.558 1
O15 O 0.947 0.221 0.711 1
O16 O 0.968 0.385 0.304 1
```

Among the structures above, stability is greatest for entry b.